Record 1
CaTiP3WO12 | GGA-PBEsol | optimized geometry

Structure (CIF):
```
data_CaTiP3WO12
_space_group_name_H-M_alt 'R 3 c'
_space_group_IT_number 161
_space_group_name_Hall 'R 3 -2"c'
_cell_length_a 8.6892
_cell_length_b 8.6892
_cell_length_c 21.8694
_cell_angle_alpha 90.00
_cell_angle_beta 90.00
_cell_angle_gamma 120.00
loop_
_atom_site_label
_atom_site_type_symbol
_atom_site_fract_x
_atom_site_fract_y
_atom_site_fract_z
Ca1 Ca 0.0000 0.0000 0.0000
Ti1 Ti 0.0000 0.0000 0.1446
P1 P 0.0033 0.2913 0.2484
W1 W 0.0000 0.0000 0.3554
O1 O 0.0082 0.1949 0.1905
O2 O 0.0184 0.1886 0.9165
O3 O 0.1443 0.4671 0.9738
O4 O 0.1706 0.4779 0.2483
```

---

Record 2
CaTlP2O | GGA-PBEsol | optimized geometry

Structure (CIF):
```
data_CaTlP2O
_space_group_name_H-M_alt 'P 4/m m m'
_space_group_IT_number 123
_space_group_name_Hall '-P 4 2'
_cell_length_a 5.1183
_cell_length_b 5.1183
_cell_length_c 4.2421
_cell_angle_alpha 90.00
_cell_angle_beta 90.00
_cell_angle_gamma 90.00
loop_
_atom_site_label
_atom_site_type_symbol
_atom_site_fract_x
_atom_site_fract_y
_atom_site_fract_z
Ca1 Ca 0.0000 0.0000 0.0000
Tl1 Tl 0.5000 0.5000 0.5000
P1 P 0.0000 0.5000 0.5000
O1 O 0.5000 0.5000 0.0000
```

---

Record 3
CaV2P2O8 | GGA-PBEsol | optimized geometry

Structure (CIF):
```
data_CaV2P2O8
_space_group_name_H-M_alt 'C 1 2/c 1'
_space_group_IT_number 15
_space_group_name_Hall '-C 2yc'
_cell_length_a 16.5461
_cell_length_b 4.9477
_cell_length_c 17.0360
_cell_angle_alpha 90.00
_cell_angle_beta 116.49
_cell_angle_gamma 90.00
loop_
_atom_site_label
_atom_site_type_symbol
_atom_site_fract_x
_atom_site_fract_y
_atom_site_fract_z
Ca1 Ca 0.1525 0.1604 0.1485
V1 V 0.0000 0.2000 0.2500
V2 V 0.0959 0.2287 0.4600
V3 V 0.2500 0.2500 0.0000
P1 P 0.0089 0.2765 0.6143
P2 P 0.2230 0.2211 0.3680
O1 O 0.0209 0.4185 0.1427
O2 O 0.0477 0.0891 0.6945
O3 O 0.0655 0.2232 0.5643
O4 O 0.0934 0.2238 0.9473
O5 O 0.1246 0.2386 0.3547
O6 O 0.2193 0.0879 0.5531
O7 O 0.2323 0.3216 0.2879
O8 O 0.2403 0.4320 0.1056
```

---

Record 4
CaV3P4O14 | GGA-PBEsol | optimized geometry

Structure (CIF):
```
data_CaV3P4O14
_space_group_name_H-M_alt 'P 1 21/c 1'
_space_group_IT_number 14
_space_group_name_Hall '-P 2ybc'
_cell_length_a 7.4342
_cell_length_b 7.6946
_cell_length_c 9.4076
_cell_angle_alpha 90.00
_cell_angle_beta 111.66
_cell_angle_gamma 90.00
loop_
_atom_site_label
_atom_site_type_symbol
_atom_site_fract_x
_atom_site_fract_y
_atom_site_fract_z
Ca1 Ca 0.0000 0.0000 0.0000
V1 V 0.3112 0.1286 0.4737
V2 V 0.5000 0.0000 0.0000
P1 P 0.0972 0.0645 0.7061
P2 P 0.3769 0.7048 0.1891
O1 O 0.1038 0.5229 0.7960
O2 O 0.1150 0.1911 0.5879
O3 O 0.1747 0.6224 0.1788
O4 O 0.2268 0.1182 0.8727
O5 O 0.3232 0.6233 0.6034
O6 O 0.4661 0.5770 0.1088
O7 O 0.4934 0.7156 0.3611
```

---

Record 5
CaYP7O20 | GGA-PBEsol | optimized geometry

Structure (CIF):
```
data_CaYP7O20
_space_group_name_H-M_alt 'C 1 2/c 1'
_space_group_IT_number 15
_space_group_name_Hall '-C 2yc'
_cell_length_a 24.8632
_cell_length_b 6.9061
_cell_length_c 10.7603
_cell_angle_alpha 90.00
_cell_angle_beta 107.52
_cell_angle_gamma 90.00
loop_
_atom_site_label
_atom_site_type_symbol
_atom_site_fract_x
_atom_site_fract_y
_atom_site_fract_z
Ca1 Ca 0.0000 0.0000 0.0000
Y1 Y 0.2500 0.2500 0.0000
P1 P 0.0000 0.3585 0.7500
P2 P 0.0874 0.3639 0.2424
P3 P 0.1399 0.1192 0.4634
P4 P 0.1786 0.4284 0.6715
O1 O 0.0110 0.2575 0.6388
O2 O 0.0523 0.4914 0.3121
O3 O 0.0550 0.2117 0.1571
O4 O 0.0812 0.0649 0.4512
O5 O 0.1154 0.4861 0.6699
O6 O 0.1392 0.2934 0.3593
O7 O 0.1685 0.2249 0.6005
O8 O 0.1820 0.0265 0.9487
O9 O 0.1979 0.4265 0.0914
O10 O 0.2137 0.3942 0.8087
```

---

Record 6
# GGA-PBEsol CaZnP2O, optimized geometry
data_CaZnP2O
_space_group_name_H-M_alt 'P 4/m m m'
_space_group_IT_number 123
_space_group_name_Hall '-P 4 2'
_cell_length_a 4.9391
_cell_length_b 4.9391
_cell_length_c 3.6325
_cell_angle_alpha 90.00
_cell_angle_beta 90.00
_cell_angle_gamma 90.00
loop_
_atom_site_label
_atom_site_type_symbol
_atom_site_fract_x
_atom_site_fract_y
_atom_site_fract_z
Ca1 Ca 0.0000 0.0000 0.0000
Zn1 Zn 0.5000 0.5000 0.5000
P1 P 0.0000 0.5000 0.5000
O1 O 0.5000 0.5000 0.0000
# relative energy among the computed polymorphs = 0.0 meV/atom

---

E_form (uncorrected) readings, ordered: -231, 23, -218, -214, -234, -13 kJ/mol of atoms